Model 1:
Here is Pr2Y7Th2 after structural relaxation from Alexandria. Energies are from PBE.

The calculation puts the density of states at the Fermi level at 34.3 states/eV per cell.

Cell lengths 11.437, 11.660, 6.068 Å; angles 90.00, 113.43, 90.00 degrees
Space group C2/m (No. 12)
One atom of each set of equivalent atoms:
1 Pr 0.232 0.000 0.093
2 Y 0.000 0.000 0.500
3 Y 0.091 0.500 0.302
4 Y 0.172 0.235 0.666
5 Th 0.000 0.214 0.000

Model 2:
Here is Pr2Y7Th2 after structural relaxation from Alexandria. Energies are from PBE.

The calculation puts the density of states at the Fermi level at 35.9 states/eV per cell.

Cell lengths 11.229, 11.644, 6.155 Å; angles 90.00, 113.01, 90.00 degrees
Space group C2/m (No. 12)
One atom of each set of equivalent atoms:
1 Pr 0.000 0.216 0.000
2 Y 0.000 0.000 0.500
3 Y 0.172 0.238 0.668
4 Y 0.241 0.000 0.084
5 Th 0.087 0.500 0.309

It is model 1 that is most stable; the runner-up trails by 5 meV per atom.

Model 1:
Here is Pr2Y6Th after structural relaxation from Alexandria. Energies are from PBE.

The calculation puts the density of states at the Fermi level at 55.5 states/eV per cell.

Cell lengths 20.968, 7.999, 7.353 Å; angles 90.00, 95.90, 90.00 degrees
Space group C2/c (No. 15)
One atom of each set of equivalent atoms:
1 Pr 0.234 0.001 0.249
2 Y 0.064 0.007 0.160
3 Y 0.134 0.301 0.467
4 Y 0.141 0.296 0.968
5 Th 0.000 0.449 0.750

Model 2:
Here is Pr2Y6Th after structural relaxation from Alexandria. Energies are from PBE.

The calculation puts the density of states at the Fermi level at 17.5 states/eV per cell.

Cell lengths 3.6184, 3.6184, 26.6886 Å; angles 90.00, 90.00, 120.00 degrees
Space group P-6m2 (No. 187)
One atom of each set of equivalent atoms:
1 Pr 0.0000 0.0000 0.1713
2 Y 0.0000 0.0000 0.3915
3 Y 0.6667 0.3333 0.0627
4 Y 0.6667 0.3333 0.2850
5 Th 0.6667 0.3333 0.5000

It is model 2 that is most stable; the runner-up trails by 144 meV per atom.

Model 1:
Here is Pr3Y6Th after structural relaxation from Alexandria. Energies are from PBE.

The calculation puts the density of states at the Fermi level at 55.3 states/eV per cell.

Cell lengths 9.600, 15.444, 9.131 Å; angles 90.00, 90.00, 90.00 degrees
Space group Cmc2_1 (No. 36)
One atom of each set of equivalent atoms:
1 Pr 0.000 0.054 0.000
2 Pr 0.246 0.064 0.316
3 Y 0.000 0.283 0.874
4 Y 0.000 0.448 0.135
5 Y 0.176 0.351 0.481
6 Y 0.178 0.149 0.641
7 Th 0.000 0.226 0.238

Model 2:
Here is Pr3Y6Th after structural relaxation from Alexandria. Energies are from PBE.

The calculation puts the density of states at the Fermi level at 63.0 states/eV per cell.

Cell lengths 10.0081, 10.0081, 11.8769 Å; angles 90.00, 90.00, 120.00 degrees
Space group R3 (No. 146, hexagonal axes)
One atom of each set of equivalent atoms:
1 Pr 0.0000 0.0000 0.0000
2 Pr 0.0000 0.0000 0.2452
3 Pr 0.0000 0.0000 0.4905
4 Y 0.0000 0.3253 0.7457
5 Y 0.0000 0.6690 0.2456
6 Th 0.0000 0.0000 0.7453

It is model 1 that is most stable; the runner-up trails by 149 meV per atom.

Model 1:
Here is Pr7Y12Th after structural relaxation from Alexandria. Energies are from PBE.

The calculation puts the density of states at the Fermi level at 129.1 states/eV per cell.

Cell lengths 12.4379, 12.4379, 15.5890 Å; angles 90.00, 90.00, 120.00 degrees
Space group R-3 (No. 148, hexagonal axes)
One atom of each set of equivalent atoms:
1 Pr 0.0000 0.0000 0.0000
2 Pr 0.0342 0.8502 0.3043
3 Y 0.0148 0.5690 0.2006
4 Y 0.0609 0.4742 0.5889
5 Th 0.0000 0.0000 0.5000

Model 2:
Here is Pr7Y12Th after structural relaxation from Alexandria. Energies are from PBE.

The calculation puts the density of states at the Fermi level at 62.8 states/eV per cell.

Cell lengths 11.393, 11.393, 11.393 Å; angles 90.00, 90.00, 90.00 degrees
Space group Im-3m (No. 229)
One atom of each set of equivalent atoms:
1 Pr 0.000 0.000 0.500
2 Pr 0.250 0.250 0.250
3 Y 0.000 0.244 0.244
4 Th 0.000 0.000 0.000

It is model 1 that is most stable; the runner-up trails by 418 meV per atom.

Model 1:
Here is Pr3YTh after structural relaxation from Alexandria. Energies are from PBE.

The calculation puts the density of states at the Fermi level at 52.6 states/eV per cell.

Cell lengths 13.226, 13.594, 7.818 Å; angles 90.00, 90.00, 90.00 degrees
Space group Cmce (No. 64)
One atom of each set of equivalent atoms:
1 Pr 0.000 0.093 0.139
2 Pr 0.148 0.230 0.881
3 Y 0.250 0.016 0.250
4 Th 0.000 0.104 0.586

Model 2:
Here is Pr3YTh after structural relaxation from Alexandria. Energies are from PBE.

The calculation puts the density of states at the Fermi level at 69.7 states/eV per cell.

Cell lengths 10.0634, 10.0634, 12.2088 Å; angles 90.00, 90.00, 120.00 degrees
Space group R-3c (No. 167, hexagonal axes)
One atom of each set of equivalent atoms:
1 Pr 0.0000 0.3286 0.2500
2 Y 0.0000 0.0000 0.2500
3 Th 0.0000 0.0000 0.0000

It is model 1 that is most stable; the runner-up trails by 168 meV per atom.

Model 1:
Here is PrY2Th2 after structural relaxation from Alexandria. Energies are from PBE.

The calculation puts the density of states at the Fermi level at 19.5 states/eV per cell.

Cell lengths 3.6061, 3.6061, 43.9293 Å; angles 90.00, 90.00, 120.00 degrees
Space group R-3m (No. 166, hexagonal axes)
One atom of each set of equivalent atoms:
1 Pr 0.0000 0.0000 0.0000
2 Y 0.0000 0.0000 0.4018
3 Th 0.0000 0.0000 0.1988

Model 2:
Here is PrY2Th2 after structural relaxation from Alexandria. Energies are from PBE.

The calculation puts the density of states at the Fermi level at 6.6 states/eV per cell.

Cell lengths 3.5959, 3.5959, 14.7530 Å; angles 90.00, 90.00, 120.00 degrees
Space group P-3m1 (No. 164)
One atom of each set of equivalent atoms:
1 Pr 0.0000 0.0000 0.0000
2 Y 0.3333 0.6667 0.7981
3 Th 0.3333 0.6667 0.4023

It is model 1 that is most stable; the runner-up trails by 19 meV per atom.

Model 1:
Here is PrY3Th2 after structural relaxation from Alexandria. Energies are from PBE.

The calculation puts the density of states at the Fermi level at 18.3 states/eV per cell.

Cell lengths 8.698, 3.639, 12.556 Å; angles 90.00, 91.15, 90.00 degrees
Space group P2_1/m (No. 11)
One atom of each set of equivalent atoms:
1 Pr 0.184 0.250 0.252
2 Y 0.100 0.250 0.895
3 Y 0.348 0.750 0.457
4 Y 0.397 0.750 0.747
5 Th 0.089 0.250 0.605
6 Th 0.363 0.750 0.054

Model 2:
Here is PrY3Th2 after structural relaxation from Alexandria. Energies are from PBE.

The calculation puts the density of states at the Fermi level at 17.0 states/eV per cell.

Cell lengths 15.610, 3.600, 7.152 Å; angles 90.00, 102.44, 90.00 degrees
Space group C2/m (No. 12)
One atom of each set of equivalent atoms:
1 Pr 0.000 0.000 0.000
2 Y 0.000 0.000 0.500
3 Y 0.171 0.500 0.830
4 Th 0.168 0.500 0.340

It is model 2 that is most stable; the runner-up trails by 61 meV per atom.

Model 1:
Here is Pr12Y5Th2 after structural relaxation from Alexandria. Energies are from PBE.

The calculation puts the density of states at the Fermi level at 58.2 states/eV per cell.

Cell lengths 22.780, 7.138, 8.866 Å; angles 90.00, 110.64, 90.00 degrees
Space group C2/m (No. 12)
One atom of each set of equivalent atoms:
1 Pr 0.046 0.000 0.202
2 Pr 0.106 0.245 0.887
3 Pr 0.136 0.500 0.542
4 Pr 0.202 0.247 0.293
5 Y 0.000 0.500 0.000
6 Y 0.149 0.000 0.598
7 Y 0.249 0.500 0.992
8 Th 0.000 0.248 0.500

Model 2:
Here is Pr12Y5Th2 after structural relaxation from Alexandria. Energies are from PBE.

The calculation puts the density of states at the Fermi level at 55.2 states/eV per cell.

Cell lengths 18.365, 9.191, 8.687 Å; angles 90.00, 110.72, 90.00 degrees
Space group C2/m (No. 12)
One atom of each set of equivalent atoms:
1 Pr 0.034 0.000 0.200
2 Pr 0.060 0.500 0.671
3 Pr 0.144 0.313 0.381
4 Pr 0.148 0.266 0.959
5 Y 0.000 0.500 0.000
6 Y 0.195 0.000 0.686
7 Y 0.238 0.000 0.255
8 Th 0.000 0.171 0.500

It is model 1 that is most stable; the runner-up trails by 81 meV per atom.